# 1
# PBE BeCu2Sb, optimized geometry
data_BeCu2Sb
_chemical_formula_sum 'Be4 Cu8 Sb4'
_cell_length_a 6.169
_cell_length_b 6.169
_cell_length_c 6.169
_cell_angle_alpha 90.00
_cell_angle_beta 90.00
_cell_angle_gamma 90.00
_symmetry_space_group_name_H-M 'P m -3 m'
_symmetry_Int_Tables_number 221
_symmetry_space_group_name_Hall '-P 4 2 3'
loop_
_atom_site_label
_atom_site_type_symbol
_atom_site_fract_x
_atom_site_fract_y
_atom_site_fract_z
_atom_site_occupancy
Be1 Be 0.000 0.000 0.000 1
Be2 Be 0.000 0.000 0.500 1
Cu1 Cu 0.207 0.207 0.207 1
Sb1 Sb 0.000 0.500 0.500 1
Sb2 Sb 0.500 0.500 0.500 1
# Calculated volume (Å³/cell): 234.7
# Relative energy among the computed polymorphs (meV/atom): 0
# E_tot (eV/atom): -3.578

---

# 2
# PBE BeCuSb2, optimized geometry
data_BeCuSb2
_chemical_formula_sum 'Be4 Cu4 Sb8'
_cell_length_a 6.837
_cell_length_b 6.837
_cell_length_c 6.837
_cell_angle_alpha 90.00
_cell_angle_beta 90.00
_cell_angle_gamma 90.00
_symmetry_space_group_name_H-M 'F -4 3 m'
_symmetry_Int_Tables_number 216
_symmetry_space_group_name_Hall 'F -4 2 3'
loop_
_atom_site_label
_atom_site_type_symbol
_atom_site_fract_x
_atom_site_fract_y
_atom_site_fract_z
_atom_site_occupancy
Be1 Be 0.000 0.000 0.000 1
Cu1 Cu 0.250 0.250 0.250 1
Sb1 Sb 0.000 0.000 0.500 1
Sb2 Sb 0.250 0.250 0.750 1
# Calculated volume (Å³/cell): 319.7
# E_tot (eV/atom): -3.207

---

# 3
# PBE BeCu2Sb, optimized geometry
data_BeCu2Sb
_chemical_formula_sum 'Be4 Cu8 Sb4'
_cell_length_a 6.170
_cell_length_b 6.170
_cell_length_c 6.170
_cell_angle_alpha 90.00
_cell_angle_beta 90.00
_cell_angle_gamma 90.00
_symmetry_space_group_name_H-M 'F -4 3 m'
_symmetry_Int_Tables_number 216
_symmetry_space_group_name_Hall 'F -4 2 3'
loop_
_atom_site_label
_atom_site_type_symbol
_atom_site_fract_x
_atom_site_fract_y
_atom_site_fract_z
_atom_site_occupancy
Be1 Be 0.000 0.000 0.000 1
Cu1 Cu 0.000 0.000 0.500 1
Cu2 Cu 0.250 0.250 0.250 1
Sb1 Sb 0.250 0.250 0.750 1
# Calculated volume (Å³/cell): 234.9
# Relative energy among the computed polymorphs (meV/atom): 158
# E_tot (eV/atom): -3.420

---

# 4
# PBE ScBeCuSb, optimized geometry
data_ScBeCuSb
_chemical_formula_sum 'Sc4 Be4 Cu4 Sb4'
_cell_length_a 6.505
_cell_length_b 6.505
_cell_length_c 6.505
_cell_angle_alpha 90.00
_cell_angle_beta 90.00
_cell_angle_gamma 90.00
_symmetry_space_group_name_H-M 'F -4 3 m'
_symmetry_Int_Tables_number 216
_symmetry_space_group_name_Hall 'F -4 2 3'
loop_
_atom_site_label
_atom_site_type_symbol
_atom_site_fract_x
_atom_site_fract_y
_atom_site_fract_z
_atom_site_occupancy
Sc1 Sc 0.000 0.000 0.000 1
Be1 Be 0.000 0.000 0.500 1
Cu1 Cu 0.250 0.250 0.750 1
Sb1 Sb 0.250 0.250 0.250 1
# Calculated volume (Å³/cell): 275.3
# Relative energy among the computed polymorphs (meV/atom): 46
# E_tot (eV/atom): -4.347